[1]
# Tb4Er2Th5, optimized geometry, DFT GGA-PBE
data_Tb4Er2Th5
_symmetry_space_group_name_H-M 'P 1 2/m 1'
_symmetry_Int_Tables_number 10
_cell_length_a 8.815
_cell_length_b 3.468
_cell_length_c 11.634
_cell_angle_alpha 90.00
_cell_angle_beta 94.68
_cell_angle_gamma 90.00
loop_
_symmetry_equiv_pos_as_xyz
'x,y,z'
'-x,-y,-z'
'-x,y,-z'
'x,-y,z'
loop_
_atom_site_label
_atom_site_type_symbol
_atom_site_fract_x
_atom_site_fract_y
_atom_site_fract_z
Tb1 Tb 0.160 0.000 0.399
Tb2 Tb 0.291 0.000 0.946
Er1 Er 0.058 0.500 0.136
Th1 Th 0.204 0.500 0.673
Th2 Th 0.429 0.500 0.209
Th3 Th 0.500 0.500 0.500
# ΔH_f (0 K) = 0.13 eV per atom
# Total magnetization = 0.00 μB per cell
# D(E_F) = 1.599 states/eV per atom
# Uncorrected energy = -63.292 eV/cell



[2]
# Tb4Er4Th, optimized geometry, DFT GGA-PBE
data_Tb4Er4Th
_symmetry_space_group_name_H-M 'I 4/m m m'
_symmetry_Int_Tables_number 139
_symmetry_space_group_name_Hall '-I 4 2'
_cell_length_a 10.632
_cell_length_b 10.632
_cell_length_c 5.004
_cell_angle_alpha 90.00
_cell_angle_beta 90.00
_cell_angle_gamma 90.00
loop_
_atom_site_label
_atom_site_type_symbol
_atom_site_fract_x
_atom_site_fract_y
_atom_site_fract_z
Tb1 Tb 0.000 0.331 0.000
Er1 Er 0.165 0.165 0.500
Th1 Th 0.000 0.000 0.000
# ΔH_f (0 K) = 0.03 eV per atom
# Total magnetization = 0.00 μB per cell
# D(E_F) = 1.498 states/eV per atom
# Uncorrected energy = -87.899 eV/cell
# Energy above the lowest structure with this stoichiometry = 0 meV/atom



[3]
# Tb2Er4Th, optimized geometry, DFT GGA-PBE
data_Tb2Er4Th
_symmetry_space_group_name_H-M 'R -3 m'
_symmetry_Int_Tables_number 166
_symmetry_space_group_name_Hall '-R 3 2"'
_cell_length_a 3.5260
_cell_length_b 3.5260
_cell_length_c 62.0977
_cell_angle_alpha 90.00
_cell_angle_beta 90.00
_cell_angle_gamma 120.00
loop_
_atom_site_label
_atom_site_type_symbol
_atom_site_fract_x
_atom_site_fract_y
_atom_site_fract_z
Tb1 Tb 0.0000 0.0000 0.2345
Er1 Er 0.0000 0.0000 0.1438
Er2 Er 0.0000 0.0000 0.2889
Th1 Th 0.0000 0.0000 0.0000
# ΔH_f (0 K) = 0.08 eV per atom
# Total magnetization = 0.05 μB per cell
# D(E_F) = 1.537 states/eV per atom
# Uncorrected energy = -103.014 eV/cell
# Energy above the lowest structure with this stoichiometry = 66 meV/atom



[4]
# Tb12Er5Th, optimized geometry, DFT GGA-PBE
data_Tb12Er5Th
_symmetry_space_group_name_H-M 'C m m m'
_symmetry_Int_Tables_number 65
_symmetry_space_group_name_Hall '-C 2 2'
_cell_length_a 15.047
_cell_length_b 15.049
_cell_length_c 5.021
_cell_angle_alpha 90.00
_cell_angle_beta 90.00
_cell_angle_gamma 90.00
loop_
_atom_site_label
_atom_site_type_symbol
_atom_site_fract_x
_atom_site_fract_y
_atom_site_fract_z
Tb1 Tb 0.000 0.165 0.000
Tb2 Tb 0.000 0.335 0.500
Tb3 Tb 0.166 0.165 0.500
Tb4 Tb 0.166 0.334 0.000
Er1 Er 0.000 0.000 0.500
Er2 Er 0.165 0.500 0.500
Er3 Er 0.167 0.000 0.000
Th1 Th 0.000 0.500 0.000
# ΔH_f (0 K) = 0.02 eV per atom
# Total magnetization = 0.00 μB per cell
# D(E_F) = 1.450 states/eV per atom
# Uncorrected energy = -170.759 eV/cell



> Which value of total magnetization does entry 3 give?

0.05 μB per cell



> The highest ΔH_f (0 K) belongs to which entry?

Tb4Er2Th5